Density functional theory data (PBE) for a relaxed structure of PaRe2O8.

Structure (POSCAR):
```
PaRe2O8
1.0
5.1276 -2.8162 0.0000
5.1276 2.8162 0.0000
-0.8409 0.0000 5.0365
Pa Re O
1 2 8
Cartesian
0.0000 0.0000 0.0000
2.2834 0.0000 2.4765
7.1310 0.0000 2.5600
3.0733 1.4317 3.6696
0.7104 0.0000 3.6975
3.6104 0.0000 1.3647
6.3411 1.4317 1.3670
3.0733 -1.4317 3.6696
5.8040 0.0000 3.6718
8.7040 0.0000 1.3390
6.3411 -1.4317 1.3670
```

Values from the calculation:
- VASP energy: -8.73 eV per atom
- SG: C2/m, No. 12

Density functional theory data (PBE) for a relaxed structure of ZrSc2H.

Structure (POSCAR):
```
ZrSc2H
1.0
3.0526 0.0000 0.0000
0.0000 3.0526 0.0000
0.0000 0.0000 7.7360
Zr Sc H
1 2 1
Cartesian
0.0000 0.0000 0.0000
1.5263 1.5263 2.3620
1.5263 1.5263 5.3740
0.0000 0.0000 3.8680
```

Values from the calculation:
- SG: P4/mmm, No. 123
- Energy above the lowest structure with this stoichiometry: 284 meV per atom

Density functional theory data (PBE) for a relaxed structure of KIn3Ge.

Structure (POSCAR):
```
KIn3Ge
1.0
6.1251 0.0000 0.0000
-2.9863 6.9179 0.0000
-3.0019 -1.3539 6.8036
K In Ge
2 6 2
Cartesian
0.0392 1.2970 1.7738
0.0977 4.2670 5.0297
-1.4625 4.4767 1.2331
-2.9669 5.5876 3.9378
-1.4587 1.1039 5.5568
1.5956 4.4601 1.2468
3.1037 -0.0235 2.8658
1.5994 1.0874 5.5704
-2.9941 2.7820 3.4018
3.0625 0.0000 0.0000
```

Values from the calculation:
- SG: P-1, No. 2
- Energy above the lowest structure with this stoichiometry: 50 meV per atom
- Formation enthalpy at 0 K: 1 kJ/mol of atoms

Density functional theory data (PBE) for a relaxed structure of Th4Os2Pb.

Structure (POSCAR):
```
Th4Os2Pb
1.0
12.7610 0.0000 0.0000
0.0000 4.3347 0.0000
0.0000 0.0000 14.8826
Th Os Pb
16 8 4
Cartesian
0.2861 1.0837 3.1850
0.9510 3.2510 6.2677
1.6070 1.0837 14.5916
2.6816 1.0837 9.7759
3.6990 3.2510 2.3346
4.7735 3.2510 7.1503
5.4296 1.0837 13.7089
6.0944 3.2510 10.6263
6.6666 1.0837 4.2563
7.3315 3.2510 1.1736
7.9875 1.0837 7.7323
9.0621 1.0837 12.5479
10.0795 3.2510 5.1067
11.1540 3.2510 0.2910
11.8101 1.0837 8.6149
12.4749 3.2510 11.6975
0.9194 3.2510 9.0779
0.9935 3.2510 1.5253
5.3870 1.0837 8.9665
5.4611 1.0837 1.6366
7.2999 3.2510 13.2460
7.3741 3.2510 5.9160
11.7675 1.0837 13.3573
11.8416 1.0837 5.8047
3.0965 3.2510 12.3831
3.2840 1.0837 4.9418
9.4770 3.2510 9.9407
9.6645 1.0837 2.4994
```

Values from the calculation:
- SG: Pnma, No. 62
- Energy above the lowest structure with this stoichiometry: 0 meV per atom
- Formation enthalpy at 0 K: -33 kJ/mol of atoms

| no. | size of the total moment (μB/f.u.) | D(E_F) (states/eV per cell) |
| --- | --- | --- |
| 1 | 0.00 | 4.38 |
| 2 | 0.00 | 6.19 |
| 3 | 0.00 | 3.94 |
| 4 | 0.00 | 22.55 |